Nd3AgHg5: optimized geometry, PBE. Values from VASP.

Geometry as Quantum ESPRESSO input:
```
&SYSTEM
  ibrav = 0, nat = 18, ntyp = 3
/
ATOMIC_SPECIES
Nd 144.24 Nd.upf
Ag 107.87 Ag.upf
Hg 200.59 Hg.upf
ATOMIC_POSITIONS angstrom
Nd -1.6323 2.8273 1.6086
Nd -2.9472 5.1047 4.8258
Nd 3.2646 0.0000 1.6086
Nd 1.6323 2.8273 4.8258
Nd 5.8944 0.0000 4.8258
Nd 2.9472 5.1047 1.6086
Ag 0.0000 0.0000 0.0000
Ag 0.0000 0.0000 3.2172
Hg -1.3883 2.4047 4.8258
Hg -3.1912 5.5273 1.6086
Hg 2.7767 0.0000 4.8258
Hg 1.3883 2.4047 1.6086
Hg 0.0000 5.2880 0.0000
Hg 0.0000 5.2880 3.2172
Hg 4.5795 2.6440 0.0000
Hg 4.5795 2.6440 3.2172
Hg 6.3824 0.0000 1.6086
Hg 3.1912 5.5273 4.8258
CELL_PARAMETERS angstrom
9.1591 0.0000 0.0000
-4.5795 7.9320 0.0000
0.0000 0.0000 6.4344
```

Values from the calculation:
SG = No. 193
Calculated formation energy = -0.400 eV per atom

=====

Li7Tl2Ag: optimized geometry, PBE. Values from VASP.

Geometry as Quantum ESPRESSO input:
```
&SYSTEM
  ibrav = 0, nat = 10, ntyp = 3
/
ATOMIC_SPECIES
Li 6.94 Li.upf
Tl 204.38 Tl.upf
Ag 107.87 Ag.upf
ATOMIC_POSITIONS angstrom
Li 0.0000 0.0000 0.0000
Li 4.8419 4.8419 2.4180
Li 4.8419 2.4180 4.8419
Li 7.2658 4.8419 4.8419
Li 2.4180 4.8419 4.8419
Li 4.8419 7.2658 4.8419
Li 4.8419 4.8419 7.2658
Tl 2.4210 2.4210 2.4210
Tl 7.2629 7.2629 7.2629
Ag 4.8419 4.8419 4.8419
CELL_PARAMETERS angstrom
0.0000 4.8419 4.8419
4.8419 0.0000 4.8419
4.8419 4.8419 0.0000
```

Values from the calculation:
SG = No. 225
Calculated formation energy = 0.109 eV per atom

=====

Ac3GdF: optimized geometry, PBE. Values from VASP.

Geometry as Quantum ESPRESSO input:
```
&SYSTEM
  ibrav = 0, nat = 5, ntyp = 3
/
ATOMIC_SPECIES
Ac 227.00 Ac.upf
Gd 157.25 Gd.upf
F 19.00 F.upf
ATOMIC_POSITIONS angstrom
Ac 0.0000 0.0000 2.7674
Ac 0.0000 2.7674 0.0000
Ac 2.7674 0.0000 0.0000
Gd 2.7674 2.7674 2.7674
F 0.0000 0.0000 0.0000
CELL_PARAMETERS angstrom
5.5349 0.0000 0.0000
0.0000 5.5349 0.0000
0.0000 0.0000 5.5349
```

Values from the calculation:
SG = No. 221
Raw formation energy = -951 meV per atom

=====

CoP2Pt: optimized geometry, PBE. Values from VASP.

Geometry as Quantum ESPRESSO input:
```
&SYSTEM
  ibrav = 0, nat = 8, ntyp = 3
/
ATOMIC_SPECIES
Co 58.93 Co.upf
P 30.97 P.upf
Pt 195.08 Pt.upf
ATOMIC_POSITIONS angstrom
Co 0.0000 0.0000 0.0000
Co 0.0000 2.5810 2.5731
P 3.8715 1.1351 -1.2866
P 1.1351 1.2905 1.2866
P -1.2905 1.4459 3.8597
P 1.4459 1.2905 6.4328
Pt 2.5810 0.0000 2.5731
Pt 0.0000 0.0000 5.1463
CELL_PARAMETERS angstrom
-2.5810 2.5810 5.1463
2.5810 -2.5810 5.1463
2.5810 2.5810 -5.1463
```

Values from the calculation:
SG = No. 122
Calculated formation energy = -0.275 eV per atom

=====

VGaTe2: optimized geometry, PBE. Values from VASP.

Geometry as Quantum ESPRESSO input:
```
&SYSTEM
  ibrav = 0, nat = 4, ntyp = 3
/
ATOMIC_SPECIES
V 50.94 V.upf
Ga 69.72 Ga.upf
Te 127.60 Te.upf
ATOMIC_POSITIONS angstrom
V 0.0000 0.0000 0.0000
Ga 0.0000 0.0000 14.7802
Te 0.0000 0.0000 11.6032
Te 0.0000 0.0000 17.9571
CELL_PARAMETERS angstrom
1.7579 1.0149 9.8534
-1.7579 1.0149 9.8534
0.0000 -2.0299 9.8534
```

Values from the calculation:
SG = No. 166
Raw formation energy = -91 meV per atom

=====

Np2PaB6: optimized geometry, PBE. Values from VASP.

Geometry as Quantum ESPRESSO input:
```
&SYSTEM
  ibrav = 0, nat = 9, ntyp = 3
/
ATOMIC_SPECIES
Np 237.00 Np.upf
Pa 231.04 Pa.upf
B 10.81 B.upf
ATOMIC_POSITIONS angstrom
Np 0.0000 0.0000 1.1520
Np 0.0000 0.0000 7.3609
Pa 0.0000 4.0159 0.0000
B 1.5911 2.0151 -1.6650
B 1.5911 1.6467 0.0000
B 1.5911 2.0151 1.6650
B 0.0000 2.0008 2.5914
B 0.0000 2.3692 4.2564
B 0.0000 2.0008 5.9215
CELL_PARAMETERS angstrom
-1.5911 4.0159 4.2564
1.5911 -4.0159 4.2564
1.5911 4.0159 -4.2564
```

Values from the calculation:
SG = No. 71
Calculated formation energy = -0.187 eV per atom

=====

Cd2CoRu: optimized geometry, PBE. Values from VASP.

Geometry as Quantum ESPRESSO input:
```
&SYSTEM
  ibrav = 0, nat = 4, ntyp = 3
/
ATOMIC_SPECIES
Cd 112.41 Cd.upf
Co 58.93 Co.upf
Ru 101.07 Ru.upf
ATOMIC_POSITIONS angstrom
Cd 0.0000 0.0000 1.3845
Cd 0.0000 0.0000 4.2271
Co 1.4364 2.0432 0.0000
Ru 1.4364 2.0432 2.8058
CELL_PARAMETERS angstrom
2.8727 0.0000 0.0000
0.0000 4.0863 0.0000
0.0000 0.0000 5.6116
```

Values from the calculation:
SG = No. 47
Calculated formation energy = 0.440 eV per atom

=====

YTm4Th3: optimized geometry, PBE. Values from VASP.

Geometry as Quantum ESPRESSO input:
```
&SYSTEM
  ibrav = 0, nat = 16, ntyp = 3
/
ATOMIC_SPECIES
Y 88.91 Y.upf
Tm 168.93 Tm.upf
Th 232.04 Th.upf
ATOMIC_POSITIONS angstrom
Y 0.0000 0.9064 0.0000
Y 5.7405 6.2048 3.0981
Tm 0.0000 2.6696 3.0519
Tm 0.0000 4.4894 6.1511
Tm 2.8696 2.6654 5.1618
Tm 2.8708 4.4459 2.0637
Tm 5.7405 2.6218 3.0530
Tm 5.7405 4.4417 6.1500
Tm 8.6113 2.6654 5.1618
Tm 8.6101 4.4459 2.0637
Th 0.0000 6.2178 3.0885
Th 2.8712 0.8302 2.0248
Th 2.8692 6.2811 5.1229
Th 5.7405 0.8935 6.1866
Th 8.6097 0.8302 2.0248
Th 8.6117 6.2811 5.1229
CELL_PARAMETERS angstrom
11.4809 0.0000 0.0000
0.0000 7.1113 0.0000
0.0000 0.0000 6.1962
```

Values from the calculation:
SG = No. 31
Calculated formation energy = 0.045 eV per atom